(1)
A plane-wave DFT calculation with PBE was carried out for a relaxed structure of SmPuSnPt.

E_form	-0.579	eV per atom
size of the total moment	1.32	μB per atom
density of states at the Fermi level	2.9065	states/eV/atom

a = 5.219 Å, b = 5.219 Å, c = 5.219 Å
α = 60.00°, β = 60.00°, γ = 60.00°
Fractional positions:
Sm (0.000, 0.000, 0.000)
Pu (0.500, 0.500, 0.500)
Sn (0.750, 0.750, 0.750)
Pt (0.250, 0.250, 0.250)


(2)
A plane-wave DFT calculation with PBE was carried out for a relaxed structure of PuSn3Pt2.

E_form	-0.539	eV per atom
size of the total moment	0.89	μB per atom
density of states at the Fermi level	2.3380	states/eV/atom

a = 8.605 Å, b = 8.605 Å, c = 8.132 Å
α = 113.36°, β = 113.36°, γ = 29.48°
Fractional positions:
Pu (0.118, 0.118, 0.131)
Pu (0.882, 0.882, 0.869)
Sn (0.040, 0.040, 0.684)
Sn (0.319, 0.319, 0.106)
Sn (0.335, 0.335, 0.535)
Sn (0.665, 0.665, 0.465)
Sn (0.681, 0.681, 0.894)
Sn (0.960, 0.960, 0.316)
Pt (0.215, 0.215, 0.705)
Pt (0.499, 0.499, 0.168)
Pt (0.501, 0.501, 0.832)
Pt (0.785, 0.785, 0.295)


(3)
A plane-wave DFT calculation with PBE was carried out for a relaxed structure of PuSn2Pt.

E_form	-0.417	eV per atom
size of the total moment	1.39	μB per atom
density of states at the Fermi level	3.0639	states/eV/atom

a = 4.477 Å, b = 4.477 Å, c = 4.492 Å
α = 90.00°, β = 90.00°, γ = 90.00°
Fractional positions:
Pu (0.000, 0.000, 0.000)
Sn (0.000, 0.500, 0.500)
Sn (0.500, 0.000, 0.500)
Pt (0.500, 0.500, 0.000)


(4)
A plane-wave DFT calculation with PBE was carried out for a relaxed structure of Pu2Sn3Pt4.

E_form	-0.630	eV per atom
size of the total moment	1.21	μB per atom
density of states at the Fermi level	2.9210	states/eV/atom

a = 8.722 Å, b = 8.722 Å, c = 7.480 Å
α = 90.00°, β = 90.00°, γ = 137.97°
Fractional positions:
Pu (0.094, 0.906, 0.903)
Pu (0.406, 0.594, 0.403)
Pu (0.594, 0.406, 0.597)
Pu (0.906, 0.094, 0.097)
Sn (0.000, 0.000, 0.500)
Sn (0.011, 0.489, 0.750)
Sn (0.489, 0.011, 0.250)
Sn (0.500, 0.500, 0.000)
Sn (0.511, 0.989, 0.750)
Sn (0.989, 0.511, 0.250)
Pt (0.169, 0.831, 0.523)
Pt (0.181, 0.319, 0.750)
Pt (0.319, 0.181, 0.250)
Pt (0.331, 0.669, 0.023)
Pt (0.669, 0.331, 0.977)
Pt (0.681, 0.819, 0.750)
Pt (0.819, 0.681, 0.250)
Pt (0.831, 0.169, 0.477)